{"formula": "SrTbCdAg", "functional": "GGA-PBE", "state": "relaxed", "lattice_angstrom": [[0.000, 3.829, 3.829], [3.829, 0.000, 3.829], [3.829, 3.829, 0.000]], "species": ["Sr", "Tb", "Cd", "Ag"], "fractional_positions": [[0.000, 0.000, 0.000], [0.500, 0.500, 0.500], [0.250, 0.250, 0.250], [0.750, 0.750, 0.750]], "dos_ef_per_ev_atom": 0.66, "energy_ev_per_atom": -2.7493, "formation_enthalpy_0k_ev_per_atom": -0.230, "magmom_total_mub_per_cell": 0.000}

{"formula": "SrCdTcAg2", "functional": "GGA-PBE", "state": "relaxed", "lattice_angstrom": [[5.175, 0.000, 0.000], [0.000, 5.175, 0.000], [0.000, 0.000, 5.883]], "species": ["Sr", "Cd", "Tc", "Ag", "Ag"], "fractional_positions": [[0.000, 0.000, 0.000], [0.000, 0.000, 0.500], [0.500, 0.500, 0.000], [0.000, 0.500, 0.500], [0.500, 0.000, 0.500]], "dos_ef_per_ev_atom": 1.22, "energy_ev_per_atom": -2.5545, "formation_enthalpy_0k_ev_per_atom": 1.179, "magmom_total_mub_per_cell": 3.769}

Which formula does entry 2 have?
SrCdTcAg2